(a)
! Sb5Se (meta-GGA SCAN, PBEsol geometry); values from VASP
&SYSTEM
  ibrav = 0, nat = 6, ntyp = 2
/
ATOMIC_SPECIES
Sb 121.76 Sb.upf
Se 78.96 Se.upf
CELL_PARAMETERS angstrom
6.098 0.000 0.000
3.049 5.281 0.000
3.049 1.760 4.979
ATOMIC_POSITIONS crystal
Sb 0.250 0.250 0.250
Sb 0.627 0.120 0.627
Sb 0.627 0.627 0.120
Sb 0.627 0.627 0.627
Sb 0.120 0.627 0.627
Se 0.000 0.000 0.000
! crystal system = cubic

(b)
! Sb5Se (meta-GGA SCAN, PBEsol geometry); values from VASP
&SYSTEM
  ibrav = 0, nat = 6, ntyp = 2
/
ATOMIC_SPECIES
Sb 121.76 Sb.upf
Se 78.96 Se.upf
CELL_PARAMETERS angstrom
4.340 0.000 0.000
0.000 6.065 0.015
-2.170 -3.009 6.314
ATOMIC_POSITIONS crystal
Sb 0.024 0.046 0.049
Sb 0.694 0.226 0.388
Sb 0.357 0.891 0.714
Sb 0.365 0.387 0.730
Sb 0.032 0.564 0.063
Se 0.695 0.720 0.390
! crystal system = monoclinic

(b) is the most stable structure; the next one sits 49.8 kJ/mol of atoms above it.

(a)
! Si2SbSe (meta-GGA SCAN, PBEsol geometry); values from VASP
&SYSTEM
  ibrav = 0, nat = 4, ntyp = 3
/
ATOMIC_SPECIES
Sb 121.76 Sb.upf
Si 28.09 Si.upf
Se 78.96 Se.upf
CELL_PARAMETERS angstrom
-2.509 -2.191 -0.392
0.591 0.167 -4.722
3.147 -3.650 0.265
ATOMIC_POSITIONS crystal
Sb 0.500 0.000 0.500
Si 0.000 0.000 0.000
Si 0.500 0.500 0.000
Se 0.000 0.500 0.500
! crystal system = orthorhombic

(b)
! Si2SbSe (meta-GGA SCAN, PBEsol geometry); values from VASP
&SYSTEM
  ibrav = 0, nat = 4, ntyp = 3
/
ATOMIC_SPECIES
Sb 121.76 Sb.upf
Si 28.09 Si.upf
Se 78.96 Se.upf
CELL_PARAMETERS angstrom
-2.650 -2.360 1.571
-0.961 -1.276 -3.537
5.473 -2.037 1.377
ATOMIC_POSITIONS crystal
Sb 0.500 0.500 0.000
Si 0.000 0.000 0.000
Si 0.750 0.250 0.500
Se 0.250 0.750 0.500
! crystal system = tetragonal

(a) is the most stable structure; the next one sits 1.3 kJ/mol of atoms above it.

(a)
! SiSbSe (meta-GGA SCAN, PBEsol geometry); values from VASP
&SYSTEM
  ibrav = 0, nat = 3, ntyp = 3
/
ATOMIC_SPECIES
Sb 121.76 Sb.upf
Si 28.09 Si.upf
Se 78.96 Se.upf
CELL_PARAMETERS angstrom
4.695 0.000 0.000
2.347 4.066 0.000
2.347 1.355 3.833
ATOMIC_POSITIONS crystal
Sb 0.500 0.500 0.500
Si 0.000 0.000 0.000
Se 0.250 0.250 0.250
! crystal system = cubic

(b)
! SiSbSe (meta-GGA SCAN, PBEsol geometry); values from VASP
&SYSTEM
  ibrav = 0, nat = 3, ntyp = 3
/
ATOMIC_SPECIES
Sb 121.76 Sb.upf
Si 28.09 Si.upf
Se 78.96 Se.upf
CELL_PARAMETERS angstrom
3.919 0.000 0.000
-1.959 3.394 0.000
0.000 0.000 4.907
ATOMIC_POSITIONS crystal
Sb 0.000 0.000 0.035
Si 0.333 0.667 0.331
Se 0.667 0.333 0.634
! crystal system = trigonal

(b) is the most stable structure; the next one sits 60.5 kJ/mol of atoms above it.